Version i
Computed, not measured: crystalline Cs2NaSb2 at its relaxed geometry at the PBE level of DFT.

a b c (Å): 11.3545 11.3545 3.5077
angles (deg): 90.00 90.00 90.00
Fractional coordinates of all 10 atoms:
1 Cs 0.1180 0.3820 0.0000
2 Cs 0.3820 0.8820 0.0000
3 Cs 0.6180 0.1180 0.0000
4 Cs 0.8820 0.6180 0.0000
5 Na 0.0000 0.0000 0.0000
6 Na 0.5000 0.5000 0.0000
7 Sb 0.1798 0.6798 0.5000
8 Sb 0.3202 0.1798 0.5000
9 Sb 0.6798 0.8202 0.5000
10 Sb 0.8202 0.3202 0.5000

For the density of states at the Fermi level, the calculation gives 7.7 states/eV/cell. As for the total magnetization: 0.000 μB per cell. The volume is 452.23 Å³/cell.



Version ii
Computed, not measured: crystalline Cs2NaSb2 at its relaxed geometry at the PBE level of DFT.

a b c (Å): 7.1959 7.1959 10.0038
angles (deg): 98.11 98.11 65.03
Fractional coordinates of all 10 atoms:
1 Cs 0.0021 0.2940 0.1415
2 Cs 0.2940 0.0021 0.6415
3 Cs 0.7060 0.9979 0.3585
4 Cs 0.9979 0.7060 0.8585
5 Na 0.4375 0.5625 0.2500
6 Na 0.5625 0.4375 0.7500
7 Sb 0.1893 0.5133 0.4915
8 Sb 0.4867 0.8107 0.0085
9 Sb 0.5133 0.1893 0.9915
10 Sb 0.8107 0.4867 0.5085

For the density of states at the Fermi level, the calculation gives 9.3 states/eV/cell. As for the total magnetization: 1.843 μB per cell. The volume is 462.95 Å³/cell.



It turns out version ii is the most stable, with the second structure 33.8 kJ/mol of atoms higher.



Version i
Computed, not measured: crystalline CsNaSb2Te at its relaxed geometry at the PBE level of DFT.

a b c (Å): 5.6608 5.6608 5.8688
angles (deg): 90.00 90.00 90.00
Fractional coordinates of all 5 atoms:
1 Cs 0.0000 0.0000 0.0000
2 Na 0.5000 0.5000 0.5000
3 Sb 0.0000 0.5000 0.5000
4 Sb 0.5000 0.0000 0.5000
5 Te 0.5000 0.5000 0.0000

For the density of states at the Fermi level, the calculation gives 4.2 states/eV/cell. As for the total magnetization: 0.000 μB per cell. The volume is 188.06 Å³/cell.



Version ii
Computed, not measured: crystalline CsNaSb2Te at its relaxed geometry at the PBE level of DFT.

a b c (Å): 6.3545 6.3545 6.6250
angles (deg): 90.00 90.00 90.00
Fractional coordinates of all 5 atoms:
1 Cs 0.0000 0.0000 0.0000
2 Na 0.5000 0.5000 0.5000
3 Sb 0.0000 0.5000 0.0000
4 Sb 0.5000 0.0000 0.0000
5 Te 0.0000 0.0000 0.5000

For the density of states at the Fermi level, the calculation gives 6.3 states/eV/cell. As for the total magnetization: 0.962 μB per cell. The volume is 267.52 Å³/cell.



It turns out version i is the most stable, with the second structure 70.0 kJ/mol of atoms higher.



Version i
Computed, not measured: crystalline CsNaSbTe2 at its relaxed geometry at the PBE level of DFT.

a b c (Å): 6.6770 6.6770 6.4360
angles (deg): 90.00 90.00 90.00
Fractional coordinates of all 5 atoms:
1 Cs 0.0000 0.0000 0.0000
2 Na 0.5000 0.5000 0.5000
3 Sb 0.0000 0.0000 0.5000
4 Te 0.0000 0.5000 0.0000
5 Te 0.5000 0.0000 0.0000

For the density of states at the Fermi level, the calculation gives 6.9 states/eV/cell. As for the total magnetization: 0.642 μB per cell. The volume is 286.93 Å³/cell.



Version ii
Computed, not measured: crystalline CsNaSbTe2 at its relaxed geometry at the PBE level of DFT.

a b c (Å): 8.1324 8.1324 7.3861
angles (deg): 90.00 90.00 128.66
Fractional coordinates of all 10 atoms:
1 Cs 0.2500 0.7500 0.7814
2 Cs 0.7500 0.2500 0.2186
3 Na 0.2500 0.2500 0.5000
4 Na 0.7500 0.7500 0.5000
5 Sb 0.0000 0.0000 0.0000
6 Sb 0.5000 0.5000 0.0000
7 Te 0.1455 0.8545 0.2802
8 Te 0.3545 0.6455 0.2802
9 Te 0.6455 0.3545 0.7198
10 Te 0.8545 0.1455 0.7198

For the density of states at the Fermi level, the calculation gives 1.5 states/eV/cell. As for the total magnetization: 0.000 μB per cell. The volume is 381.44 Å³/cell.



It turns out version ii is the most stable, with the second structure 112.2 kJ/mol of atoms higher.



Version i
Computed, not measured: crystalline CsNaSc2 at its relaxed geometry at the PBE level of DFT.

a b c (Å): 13.1025 13.1025 13.1025
angles (deg): 15.01 15.01 15.01
Fractional coordinates of all 4 atoms:
1 Cs 0.0000 0.0000 0.0000
2 Na 0.5000 0.5000 0.5000
3 Sc 0.0896 0.0896 0.0896
4 Sc 0.9104 0.9104 0.9104

For the density of states at the Fermi level, the calculation gives 4.4 states/eV/cell. As for the total magnetization: 0.000 μB per cell. The volume is 131.33 Å³/cell.



Version ii
Computed, not measured: crystalline CsNaSc2 at its relaxed geometry at the PBE level of DFT.

a b c (Å): 5.7017 5.7017 5.7017
angles (deg): 60.00 60.00 60.00
Fractional coordinates of all 4 atoms:
1 Cs 0.0000 0.0000 0.0000
2 Na 0.5000 0.5000 0.5000
3 Sc 0.2500 0.2500 0.2500
4 Sc 0.7500 0.7500 0.7500

For the density of states at the Fermi level, the calculation gives 8.7 states/eV/cell. As for the total magnetization: 0.002 μB per cell. The volume is 131.07 Å³/cell.



It turns out version i is the most stable, with the second structure 28.5 kJ/mol of atoms higher.



Version i
Computed, not measured: crystalline CsNaSe2 at its relaxed geometry at the PBE level of DFT.

a b c (Å): 10.9117 10.9117 10.9117
angles (deg): 23.77 23.77 23.77
Fractional coordinates of all 4 atoms:
1 Cs 0.0000 0.0000 0.0000
2 Na 0.5000 0.5000 0.5000
3 Se 0.4142 0.4142 0.4142
4 Se 0.5858 0.5858 0.5858

For the density of states at the Fermi level, the calculation gives 2.6 states/eV/cell. As for the total magnetization: 2.003 μB per cell. The volume is 185.48 Å³/cell.



Version ii
Computed, not measured: crystalline CsNaSe2 at its relaxed geometry at the PBE level of DFT.

a b c (Å): 5.7424 5.7424 5.7424
angles (deg): 60.00 60.00 60.00
Fractional coordinates of all 4 atoms:
1 Cs 0.0000 0.0000 0.0000
2 Na 0.5000 0.5000 0.5000
3 Se 0.2500 0.2500 0.2500
4 Se 0.7500 0.7500 0.7500

For the density of states at the Fermi level, the calculation gives 2.6 states/eV/cell. As for the total magnetization: 2.000 μB per cell. The volume is 133.90 Å³/cell.



It turns out version ii is the most stable, with the second structure 17.1 kJ/mol of atoms higher.



Version i
Computed, not measured: crystalline CsNa2Se2 at its relaxed geometry at the PBE level of DFT.

a b c (Å): 8.9668 8.9668 3.4514
angles (deg): 90.00 90.00 90.00
Fractional coordinates of all 10 atoms:
1 Cs 0.0000 0.0000 0.0000
2 Cs 0.5000 0.5000 0.0000
3 Na 0.1230 0.3770 0.0000
4 Na 0.3770 0.8770 0.0000
5 Na 0.6230 0.1230 0.0000
6 Na 0.8770 0.6230 0.0000
7 Se 0.1690 0.6690 0.5000
8 Se 0.3310 0.1690 0.5000
9 Se 0.6690 0.8310 0.5000
10 Se 0.8310 0.3310 0.5000

For the density of states at the Fermi level, the calculation gives 1.5 states/eV/cell. As for the total magnetization: 0.000 μB per cell. The volume is 277.50 Å³/cell.



Version ii
Computed, not measured: crystalline CsNa2Se2 at its relaxed geometry at the PBE level of DFT.

a b c (Å): 7.1812 7.1812 7.1812
angles (deg): 139.06 139.06 59.28
Fractional coordinates of all 5 atoms:
1 Cs 0.0000 0.0000 0.0000
2 Na 0.2500 0.7500 0.5000
3 Na 0.7500 0.2500 0.5000
4 Se 0.3736 0.3736 0.0000
5 Se 0.6264 0.6264 0.0000

For the density of states at the Fermi level, the calculation gives 1.0 states/eV/cell. As for the total magnetization: 0.932 μB per cell. The volume is 157.44 Å³/cell.



It turns out version ii is the most stable, with the second structure 1.3 kJ/mol of atoms higher.



Version i
Computed, not measured: crystalline CsNa4Sn at its relaxed geometry at the PBE level of DFT.

a b c (Å): 10.4520 10.4496 7.9280
angles (deg): 67.72 67.69 44.58
Fractional coordinates of all 12 atoms:
1 Cs 0.0000 0.0000 0.5000
2 Cs 0.5000 0.5000 0.0000
3 Na 0.0065 0.3443 0.6557
4 Na 0.1557 0.4936 0.8443
5 Na 0.3443 0.0065 0.9935
6 Na 0.4936 0.1557 0.5064
7 Na 0.5064 0.8443 0.4936
8 Na 0.6557 0.9935 0.0065
9 Na 0.8443 0.5064 0.1557
10 Na 0.9935 0.6557 0.3443
11 Sn 0.2500 0.2500 0.2500
12 Sn 0.7500 0.7500 0.7500

For the density of states at the Fermi level, the calculation gives 6.8 states/eV/cell. As for the total magnetization: 1.271 μB per cell. The volume is 554.37 Å³/cell.



Version ii
Computed, not measured: crystalline CsNa4Sn at its relaxed geometry at the PBE level of DFT.

a b c (Å): 6.7520 6.7520 6.7520
angles (deg): 60.00 60.00 60.00
Fractional coordinates of all 6 atoms:
1 Cs 0.0000 0.0000 0.0000
2 Na 0.3776 0.3776 0.3776
3 Na 0.3776 0.3776 0.8673
4 Na 0.3776 0.8673 0.3776
5 Na 0.8673 0.3776 0.3776
6 Sn 0.7500 0.7500 0.7500

For the density of states at the Fermi level, the calculation gives 3.9 states/eV/cell. As for the total magnetization: 0.004 μB per cell. The volume is 217.66 Å³/cell.



It turns out version i is the most stable, with the second structure 7.7 kJ/mol of atoms higher.



Version i
Computed, not measured: crystalline CsNa2Sn2 at its relaxed geometry at the PBE level of DFT.

a b c (Å): 9.5807 9.5807 3.6125
angles (deg): 90.00 90.00 90.00
Fractional coordinates of all 10 atoms:
1 Cs 0.0000 0.0000 0.0000
2 Cs 0.5000 0.5000 0.0000
3 Na 0.1730 0.3270 0.0000
4 Na 0.3270 0.8270 0.0000
5 Na 0.6730 0.1730 0.0000
6 Na 0.8270 0.6730 0.0000
7 Sn 0.1109 0.6109 0.5000
8 Sn 0.3891 0.1109 0.5000
9 Sn 0.6109 0.8891 0.5000
10 Sn 0.8891 0.3891 0.5000

For the density of states at the Fermi level, the calculation gives 3.9 states/eV/cell. As for the total magnetization: 0.000 μB per cell. The volume is 331.59 Å³/cell.



Version ii
Computed, not measured: crystalline CsNa2Sn2 at its relaxed geometry at the PBE level of DFT.

a b c (Å): 7.7975 7.7975 6.3062
angles (deg): 100.08 100.08 35.27
Fractional coordinates of all 5 atoms:
1 Cs 0.0000 0.0000 0.0000
2 Na 0.3246 0.3246 0.4170
3 Na 0.6754 0.6754 0.5830
4 Sn 0.2843 0.2843 0.9000
5 Sn 0.7157 0.7157 0.1000

For the density of states at the Fermi level, the calculation gives 2.3 states/eV/cell. As for the total magnetization: 0.000 μB per cell. The volume is 217.61 Å³/cell.



It turns out version ii is the most stable, with the second structure 4.7 kJ/mol of atoms higher.